Entry 1:
Here is TaMn2Pt3 after structural relaxation from Alexandria via LeMat-Bulk. Energies are from PBE.

Results
* energy relative to the elements: -0.47 eV per atom
* space group: P4/mmm

a = 2.885 Å, b = 2.885 Å, c = 11.207 Å
α = 90.00°, β = 90.00°, γ = 90.00°
Fractional coordinates of all 6 atoms:
Ta (0.000, 0.000, 0.000)
Mn (0.000, 0.000, 0.341)
Mn (0.000, 0.000, 0.659)
Pt (0.500, 0.500, 0.175)
Pt (0.500, 0.500, 0.500)
Pt (0.500, 0.500, 0.825)

=====

Entry 2:
Here is Y4Ho19Th6 after structural relaxation from Alexandria via LeMat-Bulk. Energies are from PBE.

Results
* energy relative to the elements: 0.43 eV per atom
* space group: I23

a = 10.756 Å, b = 10.756 Å, c = 10.756 Å
α = 109.47°, β = 109.47°, γ = 109.47°
Fractional coordinates of all 29 atoms:
Y (0.000, 0.000, 0.644)
Y (0.000, 0.644, 0.000)
Y (0.356, 0.356, 0.356)
Y (0.644, 0.000, 0.000)
Ho (0.000, 0.000, 0.000)
Ho (0.000, 0.265, 0.265)
Ho (0.000, 0.735, 0.735)
Ho (0.019, 0.809, 0.343)
Ho (0.191, 0.211, 0.534)
Ho (0.211, 0.534, 0.191)
Ho (0.265, 0.000, 0.265)
Ho (0.265, 0.265, 0.000)
Ho (0.323, 0.789, 0.981)
Ho (0.343, 0.019, 0.809)
Ho (0.466, 0.677, 0.657)
Ho (0.534, 0.191, 0.211)
Ho (0.657, 0.466, 0.677)
Ho (0.677, 0.657, 0.466)
Ho (0.735, 0.000, 0.735)
Ho (0.735, 0.735, 0.000)
Ho (0.789, 0.981, 0.323)
Ho (0.809, 0.343, 0.019)
Ho (0.981, 0.323, 0.789)
Th (0.130, 0.630, 0.500)
Th (0.370, 0.500, 0.870)
Th (0.500, 0.130, 0.630)
Th (0.500, 0.870, 0.370)
Th (0.630, 0.500, 0.130)
Th (0.870, 0.370, 0.500)

=====

Entry 3:
Here is CsNa2LiIn after structural relaxation from Alexandria via LeMat-Bulk. Energies are from PBE.

Results
* energy relative to the elements: 0.02 eV per atom
* space group: P4/mmm

a = 6.141 Å, b = 6.141 Å, c = 5.690 Å
α = 90.00°, β = 90.00°, γ = 90.00°
Fractional coordinates of all 5 atoms:
Cs (0.000, 0.000, 0.000)
Na (0.000, 0.500, 0.500)
Na (0.500, 0.000, 0.500)
Li (0.500, 0.500, 0.000)
In (0.500, 0.500, 0.500)

=====

Entry 4:
Here is Cd5Bi2Pb2 after structural relaxation from Alexandria via LeMat-Bulk. Energies are from PBE.

Results
* energy relative to the elements: 0.05 eV per atom
* space group: C2

a = 9.799 Å, b = 9.799 Å, c = 5.743 Å
α = 106.31°, β = 106.31°, γ = 74.47°
Fractional coordinates of all 18 atoms:
Cd (0.050, 0.050, 0.299)
Cd (0.151, 0.149, 0.898)
Cd (0.251, 0.249, 0.500)
Cd (0.350, 0.350, 0.101)
Cd (0.451, 0.448, 0.701)
Cd (0.552, 0.549, 0.299)
Cd (0.650, 0.650, 0.899)
Cd (0.751, 0.749, 0.500)
Cd (0.851, 0.849, 0.102)
Cd (0.950, 0.950, 0.701)
Bi (0.002, 0.500, 0.230)
Bi (0.251, 0.749, 0.500)
Bi (0.500, 0.998, 0.770)
Bi (0.751, 0.249, 0.000)
Pb (0.126, 0.625, 0.860)
Pb (0.375, 0.874, 0.140)
Pb (0.625, 0.124, 0.389)
Pb (0.876, 0.375, 0.611)

=====

Entry 5:
Here is KBa2W after structural relaxation from Alexandria via LeMat-Bulk. Energies are from PBE.

Results
* energy relative to the elements: 1.28 eV per atom
* space group: Pmm2

a = 4.549 Å, b = 4.565 Å, c = 9.697 Å
α = 90.00°, β = 90.00°, γ = 90.00°
Fractional coordinates of all 4 atoms:
K (0.000, 0.000, 0.000)
Ba (0.000, 0.000, 0.376)
Ba (0.500, 0.500, 0.649)
W (0.500, 0.500, 0.288)

=====

Entry 6:
Here is YZn3Cr after structural relaxation from Alexandria via LeMat-Bulk. Energies are from PBE.

Results
* energy relative to the elements: 1.74 eV per atom
* space group: Pm-3m

a = 5.264 Å, b = 5.264 Å, c = 5.264 Å
α = 90.00°, β = 90.00°, γ = 90.00°
Fractional coordinates of all 5 atoms:
Y (0.000, 0.000, 0.000)
Zn (0.000, 0.000, 0.500)
Zn (0.000, 0.500, 0.000)
Zn (0.500, 0.000, 0.000)
Cr (0.500, 0.500, 0.500)

=====

Entry 7:
Here is MgTlSbPb after structural relaxation from Alexandria via LeMat-Bulk. Energies are from PBE.

Results
* space group: F-43m
* E_tot: -2.92 eV per atom

a = 5.436 Å, b = 5.436 Å, c = 5.436 Å
α = 60.00°, β = 60.00°, γ = 60.00°
Fractional coordinates of all 4 atoms:
Mg (0.000, 0.000, 0.000)
Tl (0.750, 0.750, 0.750)
Sb (0.250, 0.250, 0.250)
Pb (0.500, 0.500, 0.500)

=====

Entry 8:
Here is Y3Os2 after structural relaxation from Alexandria via LeMat-Bulk. Energies are from PBE.

Results
* energy relative to the elements: 0.29 eV per atom
* space group: R-3m

a = 11.569 Å, b = 11.569 Å, c = 11.569 Å
α = 17.36°, β = 17.36°, γ = 17.36°
Fractional coordinates of all 5 atoms:
Y (0.000, 0.000, 0.000)
Y (0.215, 0.215, 0.215)
Y (0.785, 0.785, 0.785)
Os (0.395, 0.395, 0.395)
Os (0.605, 0.605, 0.605)

=====

Entry 9:
Here is Mg2C after structural relaxation from Alexandria via LeMat-Bulk. Energies are from PBE.

Results
* energy relative to the elements: 0.56 eV per atom
* space group: P4/mmm

a = 3.311 Å, b = 3.311 Å, c = 4.296 Å
α = 90.00°, β = 90.00°, γ = 90.00°
Fractional coordinates of all 3 atoms:
Mg (0.000, 0.000, 0.000)
Mg (0.500, 0.500, 0.500)
C (0.000, 0.000, 0.500)

=====

Entry 10:
Here is PuAsSe4 after structural relaxation from Alexandria via LeMat-Bulk. Energies are from PBE.

Results
* space group: P2_1/c
* E_tot: -5.97 eV per atom

a = 6.253 Å, b = 7.004 Å, c = 7.090 Å
α = 90.00°, β = 96.51°, γ = 90.00°
Fractional coordinates of all 12 atoms:
Pu (0.000, 0.000, 0.000)
Pu (0.000, 0.500, 0.500)
As (0.500, 0.000, 0.500)
As (0.500, 0.500, 0.000)
Se (0.150, 0.163, 0.357)
Se (0.150, 0.337, 0.857)
Se (0.305, 0.721, 0.257)
Se (0.305, 0.779, 0.757)
Se (0.695, 0.221, 0.243)
Se (0.695, 0.279, 0.743)
Se (0.850, 0.663, 0.143)
Se (0.850, 0.837, 0.643)